An optimized crystal structure of Cu2GeCl8, computed with GGA-PBE.

Lattice parameters (Å, degrees): 12.5321 7.9713 6.6867 90.00 96.70 90.00
Space group C2/m (No. 12)
Unique sites:
Cu (0.2070, 0.0000, 0.2373)
Ge (0.0000, 0.0000, 0.5000)
Cl (0.0992, 0.2023, 0.3267)
Cl (0.1320, 0.0000, 0.7556)
Cl (0.1420, 0.5000, 0.8635)

Energy above the most stable polymorph in this dataset: 0 meV per atom
ρ: 2.4 Mg/m³
Formation energy (no corrections): -501 meV/atom
Calculated volume: 30.16 A^3/atom
Energy: -3.01 eV/atom
Size of the total moment: 4.2 μB per cell